[1]
Entry from Alexandria: a geometry-optimized Tb4PrHo2Mg structure (PBE).

## Properties
- D(E_F): 14.765 states/eV/f.u.
- Calculated formation energy: 96 meV/atom

Lattice parameters (Å, degrees): 5.8049 5.8049 7.4324 90.00 90.00 90.00
Last column: nearest neighbours and their distance in Å.
Space group P4/mmm (No. 123)
Unique sites:
Tb1 0.0000 0.5000 0.2469 x4  2 Mg 3.43, 2 Pr 3.43, 4 Ho 3.46, 2 Tb 3.67-3.76
Pr1 0.0000 0.0000 0.0000 x1  8 Tb 3.43, 2 Ho 3.72
Ho1 0.0000 0.0000 0.5000 x1  8 Tb 3.46, 2 Pr 3.72
Ho2 0.5000 0.5000 0.5000 x1  8 Tb 3.46, 2 Mg 3.72
Mg1 0.5000 0.5000 0.0000 x1  8 Tb 3.43, 2 Ho 3.72

---

[2]
Entry from Alexandria: a geometry-optimized TbPrHoMg structure (PBE).

## Properties
- Relative energy among the computed polymorphs: 59.6 meV/atom
- D(E_F): 5.052 states/eV/f.u.
- Calculated formation energy: 32 meV/atom

Lattice parameters (Å, degrees): 7.8806 7.8806 7.8806 90.00 90.00 90.00
Last column: nearest neighbours and their distance in Å.
Space group F-43m (No. 216)
Unique sites:
Tb1 0.0000 0.0000 0.0000 x4  4 Ho 3.41, 4 Mg 3.41
Pr1 0.0000 0.0000 0.5000 x4  4 Mg 3.41, 4 Ho 3.41
Ho1 0.2500 0.2500 0.7500 x4  4 Pr 3.41, 4 Tb 3.41
Mg1 0.2500 0.2500 0.2500 x4  4 Tb 3.41, 4 Pr 3.41

---

[3]
Entry from Alexandria: a geometry-optimized Tb2PrHo4Mg structure (PBE).

## Properties
- D(E_F): 16.542 states/eV/f.u.
- Calculated formation energy: 111 meV/atom

Lattice parameters (Å, degrees): 5.7873 5.7873 7.4345 90.00 90.00 90.00
Last column: nearest neighbours and their distance in Å.
Space group P4/mmm (No. 123)
Unique sites:
Tb1 0.0000 0.0000 0.0000 x1  8 Ho 3.46, 2 Pr 3.72
Tb2 0.5000 0.5000 0.0000 x1  8 Ho 3.46, 2 Mg 3.72
Pr1 0.0000 0.0000 0.5000 x1  8 Ho 3.42, 2 Tb 3.72
Ho1 0.0000 0.5000 0.2553 x4  2 Mg 3.42, 2 Pr 3.42, 4 Tb 3.46, 2 Ho 3.64-3.80
Mg1 0.5000 0.5000 0.5000 x1  8 Ho 3.42, 2 Tb 3.72

---

[4]
Entry from Alexandria: a geometry-optimized TbPr2Ho4Mg structure (PBE).

## Properties
- D(E_F): 12.395 states/eV/f.u.
- Calculated formation energy: 33 meV/atom

Lattice parameters (Å, degrees): 4.9772 4.9912 10.1756 90.00 90.00 90.00
Last column: nearest neighbours and their distance in Å.
Space group Pmmm (No. 47)
Unique sites:
Tb1 0.0000 0.0000 0.0000 x1  4 Pr 3.52, 8 Ho 3.56-3.57
Pr1 0.0000 0.0000 0.5000 x1  4 Mg 3.52, 8 Ho 3.55-3.56
Pr2 0.5000 0.5000 0.0000 x1  4 Tb 3.52, 8 Ho 3.57
Ho1 0.0000 0.5000 0.2509 x2  4 Ho 3.52, 2 Mg 3.55, 4 Pr 3.56-3.57, 2 Tb 3.57
Ho2 0.5000 0.0000 0.2507 x2  4 Ho 3.52, 4 Pr 3.55-3.57, 2 Mg 3.56, 2 Tb 3.56
Mg1 0.5000 0.5000 0.5000 x1  4 Pr 3.52, 8 Ho 3.55-3.56

---

[5]
Entry from Alexandria: a geometry-optimized Tb6PrHo2Mg structure (PBE).

## Properties
- D(E_F): 15.736 states/eV/f.u.
- Calculated formation energy: 115 meV/atom

Lattice parameters (Å, degrees): 10.0314 19.1854 6.6824 90.00 98.40 90.00
Last column: nearest neighbours and their distance in Å.
Space group C2/c (No. 15)
Unique sites:
Tb1 0.0746 0.1439 0.0431 x8  2 Pr 3.21-3.44, 1 Mg 3.29, 5 Tb 3.33-3.53, 2 Ho 3.50-3.54
Tb2 0.1029 0.4154 0.9794 x8  1 Mg 3.24, 2 Tb 3.44-3.45, 3 Ho 3.48-3.53
Tb3 0.1710 0.2572 0.7113 x8  6 Tb 3.35-3.64, 2 Mg 3.37-3.41, 2 Ho 3.48-3.74
Pr1 0.0000 0.0128 0.7500 x4  4 Tb 3.21-3.44, 2 Pr 3.38, 4 Ho 3.44-3.54
Ho1 0.2415 0.4155 0.4952 x8  2 Pr 3.44-3.54, 8 Tb 3.48-3.74, 1 Mg 3.61
Mg1 0.0000 0.2920 0.2500 x4  8 Tb 3.24-3.41, 2 Ho 3.61

---

[6]
Entry from Alexandria: a geometry-optimized Tb6Pr2Ho3Mg structure (PBE).

## Properties
- D(E_F): 16.640 states/eV/f.u.
- Calculated formation energy: 17 meV/atom

Lattice parameters (Å, degrees): 6.1466 10.6526 11.7877 90.00 100.07 90.00
Last column: nearest neighbours and their distance in Å.
Space group C2/m (No. 12)
Unique sites:
Tb1 0.2475 0.0000 0.2462 x4  3 Ho 3.51-3.52, 6 Tb 3.53-3.56, 1 Mg 3.59, 2 Pr 3.59
Tb2 0.2494 0.1656 0.7528 x8  3 Ho 3.52-3.54, 6 Tb 3.53-3.56, 1 Mg 3.57, 2 Pr 3.58-3.59
Pr1 0.0000 0.3333 0.5000 x4  3 Pr 3.55, 3 Mg 3.55, 6 Tb 3.58-3.59
Ho1 0.0000 0.1656 0.0000 x4  6 Tb 3.51-3.54, 6 Ho 3.53-3.56
Ho2 0.0000 0.5000 0.0000 x2  6 Tb 3.52, 6 Ho 3.54-3.56
Mg1 0.0000 0.0000 0.5000 x2  6 Pr 3.55, 6 Tb 3.57-3.59

---

[7]
Entry from Alexandria: a geometry-optimized Tb2PrHo2Mg structure (PBE).

## Properties
- D(E_F): 8.776 states/eV/f.u.
- Calculated formation energy: 100 meV/atom

Lattice parameters (Å, degrees): 5.5470 18.6551 3.6732 90.00 90.00 90.00
Last column: nearest neighbours and their distance in Å.
Space group Pnnm (No. 58)
Unique sites:
Tb1 0.0025 0.1843 0.0000 x4  5 Ho 3.38-3.45, 2 Tb 3.67
Pr1 0.0000 0.0000 0.5000 x2  4 Mg 3.33, 2 Pr 3.67
Ho1 0.0023 0.3653 0.0000 x4  2 Mg 3.11, 5 Tb 3.38-3.45
Mg1 0.0000 0.5000 0.5000 x2  4 Ho 3.11, 4 Pr 3.33

---

[8]
Entry from Alexandria: a geometry-optimized Tb3Pr6Ho2Mg structure (PBE).

## Properties
- D(E_F): 12.425 states/eV/f.u.
- Calculated formation energy: 22 meV/atom

Lattice parameters (Å, degrees): 6.2790 10.8821 11.8400 90.00 100.22 90.00
Last column: nearest neighbours and their distance in Å.
Space group C2/m (No. 12)
Unique sites:
Tb1 0.0000 0.0000 0.0000 x2  6 Pr 3.60-3.61, 6 Tb 3.63
Tb2 0.0000 0.3333 0.0000 x4  6 Pr 3.60-3.62, 6 Tb 3.63
Pr1 0.2482 0.3337 0.7474 x8  1 Mg 3.56, 2 Ho 3.56-3.57, 3 Tb 3.61-3.62, 6 Pr 3.62-3.63
Pr2 0.2494 0.0000 0.7487 x4  2 Ho 3.57, 1 Mg 3.58, 3 Tb 3.60, 6 Pr 3.62-3.63
Ho1 0.0000 0.1666 0.5000 x4  6 Pr 3.56-3.57, 3 Mg 3.63, 3 Ho 3.63
Mg1 0.0000 0.5000 0.5000 x2  6 Pr 3.56-3.58, 6 Ho 3.63

---

[9]
Entry from Alexandria: a geometry-optimized TbPrHo3Mg structure (PBE).

## Properties
- D(E_F): 9.337 states/eV/f.u.
- Calculated formation energy: 175 meV/atom

Lattice parameters (Å, degrees): 20.5390 5.7625 6.9725 90.00 109.65 90.00
Last column: nearest neighbours and their distance in Å.
Space group C2/m (No. 12)
Unique sites:
Tb1 0.2064 0.0000 0.4564 x4  7 Ho 3.17-3.55, 2 Tb 3.34, 2 Pr 3.52-3.53
Pr1 0.1795 0.0000 0.9300 x4  4 Ho 3.52-3.53, 2 Tb 3.52-3.53
Ho1 0.0423 0.0000 0.2913 x4  2 Mg 3.06, 1 Tb 3.17
Ho2 0.1392 0.5000 0.6202 x4  2 Mg 3.12-3.33, 1 Ho 3.22, 1 Tb 3.39
Ho3 0.1402 0.5000 0.1588 x4  2 Mg 3.12-3.32, 1 Ho 3.22, 1 Tb 3.38
Mg1 0.0106 0.5000 0.7633 x4  6 Ho 3.06-3.33

---

[10]
Entry from Alexandria: a geometry-optimized TbPrHoMg structure (PBE).

## Properties
- Relative energy among the computed polymorphs: 0.0 meV/atom
- D(E_F): 4.842 states/eV/f.u.
- Calculated formation energy: -27 meV/atom

Lattice parameters (Å, degrees): 3.6778 3.6778 9.0563 90.00 90.00 90.00
Last column: nearest neighbours and their distance in Å.
Space group P4mm (No. 99)
Unique sites:
Tb1 0.0000 0.0000 0.0000 x1  4 Mg 3.31, 4 Pr 3.62, 4 Tb 3.68
Pr1 0.5000 0.5000 0.2775 x1  4 Ho 3.60, 4 Tb 3.62, 4 Pr 3.68
Ho1 0.0000 0.0000 0.5521 x1  4 Mg 3.29, 4 Pr 3.60, 4 Ho 3.68
Mg1 0.5000 0.5000 0.7738 x1  4 Ho 3.29, 4 Tb 3.31, 4 Mg 3.68

---

[11]
Entry from Alexandria: a geometry-optimized Tb3Pr2Ho6Mg structure (PBE).

## Properties
- D(E_F): 17.368 states/eV/f.u.
- Calculated formation energy: 20 meV/atom

Lattice parameters (Å, degrees): 6.1270 10.6212 11.7652 90.00 100.08 90.00
Last column: nearest neighbours and their distance in Å.
Space group C2/m (No. 12)
Unique sites:
Tb1 0.0000 0.0000 0.0000 x2  6 Ho 3.53, 6 Tb 3.53-3.55
Tb2 0.0000 0.3342 0.0000 x4  6 Ho 3.51-3.54, 6 Tb 3.52-3.55
Pr1 0.0000 0.1662 0.5000 x4  3 Pr 3.53-3.54, 3 Mg 3.54-3.55, 6 Ho 3.56-3.57
Ho1 0.2480 0.5000 0.2474 x4  3 Tb 3.51-3.53, 6 Ho 3.52-3.55, 1 Mg 3.57, 2 Pr 3.57
Ho2 0.2490 0.3344 0.7515 x8  6 Ho 3.52-3.55, 3 Tb 3.53-3.54, 1 Mg 3.55, 2 Pr 3.56-3.57
Mg1 0.0000 0.5000 0.5000 x2  6 Pr 3.54-3.55, 6 Ho 3.55-3.57

---

[12]
Entry from Alexandria: a geometry-optimized PrHoMgTc structure (PBE).

## Properties
- D(E_F): 2.407 states/eV/f.u.
- Calculated formation energy: 62 meV/atom

Lattice parameters (Å, degrees): 7.2400 7.2400 7.2400 90.00 90.00 90.00
Last column: nearest neighbours and their distance in Å.
Space group F-43m (No. 216)
Unique sites:
Pr1 0.0000 0.0000 0.0000 x4  4 Tc 3.14, 4 Mg 3.14
Ho1 0.0000 0.0000 0.5000 x4  4 Tc 3.14, 4 Mg 3.14
Mg1 0.2500 0.2500 0.2500 x4  4 Pr 3.14, 4 Ho 3.14
Tc1 0.2500 0.2500 0.7500 x4  4 Pr 3.14, 4 Ho 3.14